No. 1
# PBE ZrAgHg2, optimized geometry
# - V: 21.31 Å³ per atom
# - Total magnetic moment: 0.05 μB/f.u.
# - VASP energy: -3.005 eV/atom
# - ΔH_f (0 K): -0.4 kJ/mol of atoms
data_ZrAgHg2
_cell_length_a 3.149
_cell_length_b 3.149
_cell_length_c 8.594
_cell_angle_alpha 90.00
_cell_angle_beta 90.00
_cell_angle_gamma 90.00
_space_group_name_H-M_alt 'P 4 m m'
_space_group_IT_number 99
loop_
_space_group_symop_operation_xyz
'x,y,z'
'-y,x,z'
'-x,-y,z'
'y,-x,z'
'-x,y,z'
'y,x,z'
'x,-y,z'
'-y,-x,z'
loop_
_atom_site_label
_atom_site_type_symbol
_atom_site_fract_x
_atom_site_fract_y
_atom_site_fract_z
Zr1 Zr 0.000 0.000 0.000
Ag1 Ag 0.500 0.500 0.238
Hg1 Hg 0.000 0.000 0.476
Hg2 Hg 0.500 0.500 0.752



No. 2
# PBE ZrAgHg2, optimized geometry
# - V: 21.45 Å³ per atom
# - Total magnetic moment: 0.00 μB/f.u.
# - VASP energy: -2.983 eV/atom
# - ΔH_f (0 K): 1.7 kJ/mol of atoms
data_ZrAgHg2
_cell_length_a 3.1885
_cell_length_b 3.1885
_cell_length_c 29.2411
_cell_angle_alpha 90.00
_cell_angle_beta 90.00
_cell_angle_gamma 120.00
_space_group_name_H-M_alt 'R 3 m'
_space_group_IT_number 160
_space_group_name_Hall 'R 3 -2"'
loop_
_atom_site_label
_atom_site_type_symbol
_atom_site_fract_x
_atom_site_fract_y
_atom_site_fract_z
Zr1 Zr 0.0000 0.0000 0.0000
Ag1 Ag 0.0000 0.0000 0.1673
Hg1 Hg 0.0000 0.0000 0.5816
Hg2 Hg 0.0000 0.0000 0.7519



No. 3
# PBE ZrAgHg2, optimized geometry
# - V: 21.28 Å³ per atom
# - Total magnetic moment: 0.00 μB/f.u.
# - VASP energy: -3.010 eV/atom
# - ΔH_f (0 K): -0.9 kJ/mol of atoms
data_ZrAgHg2
_cell_length_a 4.803
_cell_length_b 4.803
_cell_length_c 3.690
_cell_angle_alpha 90.00
_cell_angle_beta 90.00
_cell_angle_gamma 90.00
_space_group_name_H-M_alt 'P 4/m m m'
_space_group_IT_number 123
_space_group_name_Hall '-P 4 2'
loop_
_atom_site_label
_atom_site_type_symbol
_atom_site_fract_x
_atom_site_fract_y
_atom_site_fract_z
Zr1 Zr 0.000 0.000 0.000
Ag1 Ag 0.500 0.500 0.000
Hg1 Hg 0.000 0.500 0.500



No. 4
# PBE Zr2Ag2Hg5, optimized geometry
# - V: 22.60 Å³ per atom
# - Total magnetic moment: 0.00 μB/f.u.
# - VASP energy: -2.568 eV/atom
# - ΔH_f (0 K): 12.8 kJ/mol of atoms
data_Zr2Ag2Hg5
_cell_length_a 16.718
_cell_length_b 6.919
_cell_length_c 7.033
_cell_angle_alpha 90.00
_cell_angle_beta 90.00
_cell_angle_gamma 90.00
_space_group_name_H-M_alt 'C m c e'
_space_group_IT_number 64
_space_group_name_Hall '-C 2ac 2'
loop_
_atom_site_label
_atom_site_type_symbol
_atom_site_fract_x
_atom_site_fract_y
_atom_site_fract_z
Zr1 Zr 0.235 0.000 0.000
Ag1 Ag 0.000 0.131 0.364
Hg1 Hg 0.000 0.000 0.000
Hg2 Hg 0.133 0.192 0.689